# Tb2ScCoO6 (GGA+U, optimized geometry)
# energy: -7.93 eV/atom
# calculated density: 7.461 Mg/m³
data_Tb2ScCoO6
_cell_length_a 5.336
_cell_length_b 5.616
_cell_length_c 7.691
_cell_angle_alpha 90.00
_cell_angle_beta 89.25
_cell_angle_gamma 90.00
_space_group_name_H-M_alt 'P 1'
_space_group_IT_number 1
loop_
_space_group_symop_operation_xyz
'x,y,z'
loop_
_atom_site_label
_atom_site_type_symbol
_atom_site_fract_x
_atom_site_fract_y
_atom_site_fract_z
Tb1 Tb 0.019 0.934 0.250
O1 O 0.391 0.962 0.760
Tb2 Tb 0.519 0.566 0.750
O2 O 0.205 0.192 0.055
O3 O 0.891 0.538 0.260
O4 O 0.705 0.308 0.555
O5 O 0.814 0.793 0.557
Co1 Co 0.500 0.000 0.000
Tb3 Tb 0.981 0.066 0.750
O6 O 0.109 0.462 0.740
O7 O 0.686 0.293 0.943
O8 O 0.795 0.808 0.945
Tb4 Tb 0.481 0.434 0.250
Sc1 Sc 0.500 0.000 0.500
Sc2 Sc 0.000 0.500 0.000
Co2 Co 0.000 0.500 0.500
O9 O 0.186 0.207 0.443
O10 O 0.314 0.707 0.057
O11 O 0.609 0.038 0.240
O12 O 0.295 0.692 0.445